Compound: PrFe2WO6
Source: Alexandria via LeMat-Bulk
Functional: GGA+U
Structure: relaxed

## Properties
* E_tot: -7.383 eV/atom
* density of states at the Fermi level: 0.0 states/eV per cell

Lattice parameters (Å, degrees): 5.518 5.580 5.811 63.22 61.77 59.33
Each line ends with the local moment (μB).
Fractional coordinates of all 10 atoms:
1 Pr 0.802 0.808 0.589  0.01
2 Fe 0.512 0.526 0.424  3.77
3 Fe 0.021 0.018 0.952  3.76
4 W 0.313 0.322 0.041  1.00
5 O 0.587 0.238 0.243  0.07
6 O 0.245 0.944 0.229  0.05
7 O 0.948 0.576 0.234  0.01
8 O 0.381 0.705 0.760  0.06
9 O 0.704 0.150 0.776  0.03
10 O 0.147 0.376 0.767  0.05